No. 1
The following is a DFT calculation (PBE-GGA) of a geometry-optimized AgMo4 structure.

Cell: 4.8319 4.8319 4.8319 Å, 102.12 102.12 125.46°
Last column: nearest neighbours and their distance in Å.
Positions (direct):
1 Ag 0.0000 0.0000 0.0000  12 Mo 2.82-2.90
2 Mo 0.7976 0.5828 0.3804  7 Mo 2.65-2.90, 3 Ag 2.82-2.90
3 Mo 0.2024 0.4172 0.6196  7 Mo 2.65-2.90, 3 Ag 2.82-2.90
4 Mo 0.5828 0.2024 0.7853  7 Mo 2.65-2.90, 3 Ag 2.82-2.90
5 Mo 0.4172 0.7976 0.2147  7 Mo 2.65-2.90, 3 Ag 2.82-2.90

## Properties
The total magnetization is 0.0 μB/f.u. The value obtained for the offset from the most stable computed form is 0 meV/atom. Its density of states at the Fermi level is 0.843 states/eV/atom.

=====

No. 2
The following is a DFT calculation (PBE-GGA) of a geometry-optimized Sm2Dy4Y5 structure.

Cell: 3.4776 8.7416 12.0610 Å, 96.40 98.29 90.00°
Last column: nearest neighbours and their distance in Å.
Positions (direct):
1 Sm 0.9089 0.2612 0.8178  2 Dy 3.28-3.36, 2 Y 3.36-3.41, 2 Sm 3.48
2 Sm 0.0911 0.7388 0.1822  2 Dy 3.28-3.36, 2 Y 3.36-3.41, 2 Sm 3.48
3 Dy 0.6767 0.4718 0.3535  6 Dy 3.48-3.89, 5 Y 3.56-3.65, 2 Sm 3.70
4 Dy 0.0455 0.3609 0.0910  3 Y 3.27-3.66, 2 Sm 3.28-3.36, 5 Dy 3.44-3.62
5 Dy 0.3233 0.5282 0.6465  6 Dy 3.48-3.89, 5 Y 3.56-3.65, 2 Sm 3.70
6 Dy 0.9545 0.6391 0.9090  3 Y 3.27-3.66, 2 Sm 3.28-3.36, 5 Dy 3.44-3.62
7 Y 0.1407 0.1196 0.2815  3 Dy 3.27-3.56, 1 Sm 3.41, 5 Y 3.48-3.57
8 Y 0.8593 0.8804 0.7185  3 Dy 3.27-3.56, 1 Sm 3.41, 5 Y 3.48-3.57
9 Y 0.2320 0.8234 0.4640  1 Sm 3.36, 7 Y 3.48-3.57, 3 Dy 3.56-3.65
10 Y 0.5000 0.0000 0.0000  6 Y 3.48-3.82, 4 Dy 3.66, 4 Sm 3.75
11 Y 0.7680 0.1766 0.5360  1 Sm 3.36, 7 Y 3.48-3.57, 3 Dy 3.56-3.65

## Properties
The total magnetization is 0.0 μB/f.u. The value obtained for the offset from the most stable computed form is 0 meV/atom. Its density of states at the Fermi level is 1.917 states/eV/atom.

=====

No. 3
The following is a DFT calculation (PBE-GGA) of a geometry-optimized Ba2Mg3AgGe4 structure.

Cell: 4.6623 4.6623 11.3973 Å, 90.00 90.00 90.00°
Last column: nearest neighbours and their distance in Å.
Positions (direct):
1 Ba 0.5000 0.0000 0.2547  8 Ge 3.55-3.72, 6 Mg 3.58-3.64, 2 Ag 3.64
2 Ba 0.0000 0.5000 0.7453  8 Ge 3.55-3.72, 6 Mg 3.58-3.64, 2 Ag 3.64
3 Mg 0.0000 0.0000 0.5000  4 Ge 2.76
4 Mg 0.5000 0.0000 0.8676  5 Ge 2.70-2.78
5 Mg 0.0000 0.5000 0.1324  5 Ge 2.70-2.78
6 Ag 0.5000 0.5000 0.5000  4 Ge 2.76
7 Ge 0.5000 0.5000 0.0000  4 Mg 2.78
8 Ge 0.0000 0.0000 0.0000  4 Mg 2.78
9 Ge 0.5000 0.0000 0.6304  3 Mg 2.70-2.76, 2 Ag 2.76
10 Ge 0.0000 0.5000 0.3696  3 Mg 2.70-2.76, 2 Ag 2.76

## Properties
For the total energy, the calculation gives -33.79 eV/cell. The total magnetization is 0.0 μB/f.u. Its density of states at the Fermi level is 0.381 states/eV/atom.

=====

No. 4
The following is a DFT calculation (PBE-GGA) of a geometry-optimized CaZrO3 structure.

Cell: 4.0996 5.7403 6.8837 Å, 114.64 90.00 90.00°
Last column: nearest neighbours and their distance in Å.
Positions (direct):
1 Ca 0.0000 0.6646 0.3293  1 O 2.28
2 Ca 0.0000 0.3354 0.6707  1 O 2.28
3 Zr 0.5000 0.1235 0.2470  6 O 2.08-2.14
4 Zr 0.5000 0.8765 0.7530  6 O 2.08-2.14
5 O 0.5000 0.2458 0.0000  2 Zr 2.09
6 O 0.0000 0.8469 0.6937  2 Zr 2.08, 1 Ca 2.28
7 O 0.5000 0.7542 0.0000  2 Zr 2.09
8 O 0.5000 0.5000 0.5000  2 Zr 2.14
9 O 0.0000 0.1531 0.3063  2 Zr 2.08, 1 Ca 2.28
10 O 0.5000 0.0000 0.5000  2 Zr 2.14

## Properties
For the total energy, the calculation gives -81.12 eV/cell. The total magnetization is 0.0 μB/f.u. Its density of states at the Fermi level is 0.000 states/eV/atom.

=====

No. 5
The following is a DFT calculation (PBE-GGA) of a geometry-optimized LaYSn structure.

Cell: 5.1360 5.1360 7.9059 Å, 88.27 88.27 61.37°
Last column: nearest neighbours and their distance in Å.
Positions (direct):
1 La 0.6685 0.6685 0.6089  3 Sn 3.26-3.28, 3 La 3.43-3.49
2 La 0.3315 0.3315 0.3911  3 Sn 3.26-3.28, 3 La 3.43-3.49
3 Y 0.6667 0.6667 0.1004  3 Sn 3.13, 3 Y 3.38-3.39
4 Y 0.3333 0.3333 0.8996  3 Sn 3.13, 3 Y 3.38-3.39
5 Sn 0.9995 0.9995 0.7795  3 Y 3.13, 3 La 3.26-3.28, 1 Sn 3.49
6 Sn 0.0005 0.0005 0.2205  3 Y 3.13, 3 La 3.26-3.28, 1 Sn 3.49

## Properties
The total magnetization is 0.0 μB/f.u. The value obtained for the offset from the most stable computed form is 235 meV/atom. Its density of states at the Fermi level is 0.947 states/eV/atom.

=====

No. 6
The following is a DFT calculation (PBE-GGA) of a geometry-optimized YFe2Se structure.

Cell: 5.4862 5.4862 5.4862 Å, 137.98 139.52 59.77°
Last column: nearest neighbours and their distance in Å.
Positions (direct):
1 Fe 0.0012 0.0012 0.0000  4 Fe 2.73, 2 Se 3.03, 2 Y 3.05
2 Fe 0.4988 0.4988 0.0000  4 Fe 2.73, 2 Se 3.03, 2 Y 3.05
3 Se 0.7500 0.2500 0.5000  4 Y 2.73, 4 Fe 3.03
4 Y 0.2500 0.7500 0.5000  4 Se 2.73, 4 Fe 3.05

## Properties
For the total energy, the calculation gives -27.06 eV/cell. The total magnetization is 4.6 μB/f.u. Its density of states at the Fermi level is 1.174 states/eV/atom.

=====

No. 7
The following is a DFT calculation (PBE-GGA) of a geometry-optimized TbZn2Ag2 structure.

Cell: 4.8502 5.7382 8.1574 Å, 91.42 73.09 63.80°
Last column: nearest neighbours and their distance in Å.
Positions (direct):
1 Tb 0.0025 0.7426 0.2534  6 Zn 3.02-3.09, 8 Ag 3.17-3.23
2 Tb 0.9975 0.2574 0.7466  6 Zn 3.02-3.09, 8 Ag 3.17-3.23
3 Zn 0.6081 0.7621 0.0130  1 Zn 2.50, 3 Ag 2.70-2.79
4 Zn 0.6104 0.2620 0.5065  1 Zn 2.47, 2 Ag 2.69-2.74
5 Zn 0.3919 0.2379 0.9870  1 Zn 2.50, 3 Ag 2.70-2.79
6 Zn 0.3896 0.7380 0.4935  1 Zn 2.47, 2 Ag 2.69-2.74
7 Ag 0.7524 0.3321 0.1663  5 Zn 2.70-3.00, 2 Ag 2.92-2.99
8 Ag 0.7406 0.8487 0.6736  5 Zn 2.69-2.87, 2 Ag 2.92-2.99
9 Ag 0.2594 0.1513 0.3264  5 Zn 2.69-2.87, 2 Ag 2.92-2.99
10 Ag 0.2476 0.6679 0.8337  5 Zn 2.70-3.00, 2 Ag 2.92-2.99

## Properties
The total magnetization is 0.0 μB/f.u. The value obtained for the offset from the most stable computed form is 0 meV/atom. Its density of states at the Fermi level is 0.474 states/eV/atom.

=====

No. 8
The following is a DFT calculation (PBE-GGA) of a geometry-optimized Sc3BiPb structure.

Cell: 5.4229 5.4229 5.4229 Å, 90.00 90.00 90.00°
Last column: nearest neighbours and their distance in Å.
Positions (direct):
1 Pb 0.5000 0.5000 0.5000  12 Sc 3.83
2 Sc 0.0000 0.5000 0.0000  2 Bi 2.71
3 Sc 0.0000 0.0000 0.5000  2 Bi 2.71
4 Sc 0.5000 0.0000 0.0000  2 Bi 2.71
5 Bi 0.0000 0.0000 0.0000  6 Sc 2.71

## Properties
The total magnetization is 0.0 μB/f.u. The value obtained for the offset from the most stable computed form is 510 meV/atom. Its density of states at the Fermi level is 1.244 states/eV/atom.

=====

No. 9
The following is a DFT calculation (PBE-GGA) of a geometry-optimized Rb2Zn2SnO6 structure.

Cell: 5.9912 5.9912 7.1049 Å, 65.06 65.06 60.00°
Last column: nearest neighbours and their distance in Å.
Positions (direct):
1 Rb 0.7929 0.7929 0.6213  9 O 2.99-3.17
2 Rb 0.2071 0.2071 0.3787  9 O 2.99-3.17
3 Zn 0.3965 0.3965 0.8106  3 O 1.86
4 Zn 0.6035 0.6035 0.1894  3 O 1.86
5 Sn 0.0000 0.0000 0.0000  6 O 2.09
6 O 0.7736 0.7736 0.2145  1 Zn 1.86
7 O 0.2384 0.7736 0.2145  1 Zn 1.86
8 O 0.7736 0.2384 0.2145  1 Zn 1.86
9 O 0.2264 0.7616 0.7855  1 Zn 1.86
10 O 0.7616 0.2264 0.7855  1 Zn 1.86
11 O 0.2264 0.2264 0.7855  1 Zn 1.86

## Properties
For the total energy, the calculation gives -51.34 eV/cell. The total magnetization is 2.1 μB/f.u. Its density of states at the Fermi level is 0.375 states/eV/atom.

=====

No. 10
The following is a DFT calculation (PBE-GGA) of a geometry-optimized TaVTc2 structure.

Cell: 3.1234 4.4013 4.4013 Å, 90.00 90.00 90.00°
Last column: nearest neighbours and their distance in Å.
Positions (direct):
1 V 0.5000 0.5000 0.5000  8 Tc 2.70
2 Tc 0.0000 0.0000 0.5000  4 Ta 2.70, 4 V 2.70
3 Tc 0.0000 0.5000 0.0000  4 Ta 2.70, 4 V 2.70
4 Ta 0.5000 0.0000 0.0000  8 Tc 2.70

## Properties
For the total energy, the calculation gives -43.25 eV/cell. The total magnetization is 0.0 μB/f.u. Its density of states at the Fermi level is 0.343 states/eV/atom.